DFT (meta-GGA SCAN) results for SrSb2Pt at its PBEsol-relaxed geometry.

Structure (POSCAR):
```
SrSb2Pt
1.0
4.397 0.000 0.000
0.000 4.607 0.000
0.000 0.000 4.607
Pt Sb Sr
1 2 1
Direct
0.500 0.000 0.000 Pt
0.000 0.000 0.500 Sb
0.000 0.500 0.000 Sb
0.500 0.500 0.500 Sr
```

Output
Total DFT energy (no corrections) = -42.142 eV/atom
Calculated volume = 23.332 A^3/atom